Density functional theory data (PBE-GGA) for a relaxed structure of BaLaGa2Tc.

Unit cell a=5.133 b=5.133 c=5.191 alpha=90.00 beta=90.00 gamma=90.00
Atoms (fractional coordinates):
Ba (0.000, 0.000, 0.000)
La (0.500, 0.500, 0.000)
Ga (0.000, 0.500, 0.500)
Ga (0.500, 0.000, 0.500)
Tc (0.500, 0.500, 0.500)

Crystal system: tetragonal
V: 27.4 A^3/atom

***

Density functional theory data (PBE-GGA) for a relaxed structure of BaLa2GaTc.

Unit cell a=5.466 b=5.466 c=5.274 alpha=90.00 beta=90.00 gamma=90.00
Atoms (fractional coordinates):
Ba (0.000, 0.000, 0.000)
La (0.000, 0.500, 0.500)
La (0.500, 0.000, 0.500)
Ga (0.500, 0.500, 0.000)
Tc (0.500, 0.500, 0.500)

Crystal system: tetragonal
V: 31.5 A^3/atom

***

Density functional theory data (PBE-GGA) for a relaxed structure of BaLaZnGa.

Unit cell a=5.542 b=5.542 c=5.542 alpha=60.00 beta=60.00 gamma=60.00
Atoms (fractional coordinates):
Ba (0.000, 0.000, 0.000)
La (0.500, 0.500, 0.500)
Zn (0.750, 0.750, 0.750)
Ga (0.250, 0.250, 0.250)

Crystal system: cubic
V: 30.1 A^3/atom

***

Density functional theory data (PBE-GGA) for a relaxed structure of Ba2LiGa2.

Unit cell a=11.415 b=11.415 c=11.415 alpha=159.98 beta=159.98 gamma=28.46
Atoms (fractional coordinates):
Ba (0.116, 0.116, 0.000)
Ba (0.884, 0.884, 0.000)
Li (0.500, 0.500, 0.000)
Ga (0.250, 0.750, 0.500)
Ga (0.750, 0.250, 0.500)

Crystal system: tetragonal
V: 34.8 A^3/atom
Excess energy over the best structure of this formula in the dataset: 0.253 eV per atom

***

Density functional theory data (PBE-GGA) for a relaxed structure of BaLiGa2.

Unit cell a=9.980 b=9.980 c=9.980 alpha=150.66 beta=150.66 gamma=41.98
Atoms (fractional coordinates):
Ba (0.000, 0.000, 0.000)
Ba (0.750, 0.250, 0.500)
Li (0.250, 0.750, 0.500)
Li (0.500, 0.500, 0.000)
Ga (0.373, 0.625, 0.248)
Ga (0.375, 0.623, 0.748)
Ga (0.377, 0.125, 0.752)
Ga (0.875, 0.627, 0.252)

Crystal system: tetragonal
V: 29.8 A^3/atom
Excess energy over the best structure of this formula in the dataset: 0.147 eV per atom

***

Density functional theory data (PBE-GGA) for a relaxed structure of Ba2LiGa2.

Unit cell a=6.618 b=6.618 c=9.484 alpha=103.95 beta=103.95 gamma=57.78
Atoms (fractional coordinates):
Ba (0.035, 0.678, 0.861)
Ba (0.322, 0.965, 0.639)
Ba (0.678, 0.035, 0.361)
Ba (0.965, 0.322, 0.139)
Li (0.388, 0.612, 0.250)
Li (0.612, 0.388, 0.750)
Ga (0.187, 0.510, 0.506)
Ga (0.490, 0.813, 0.994)
Ga (0.510, 0.187, 0.006)
Ga (0.813, 0.490, 0.494)

Crystal system: monoclinic
V: 33.8 A^3/atom
Excess energy over the best structure of this formula in the dataset: 0.029 eV per atom

***

Density functional theory data (PBE-GGA) for a relaxed structure of Ba3LiGa.

Unit cell a=6.551 b=6.551 c=6.551 alpha=90.00 beta=90.00 gamma=90.00
Atoms (fractional coordinates):
Ba (0.000, 0.000, 0.500)
Ba (0.000, 0.500, 0.000)
Ba (0.500, 0.000, 0.000)
Li (0.500, 0.500, 0.500)
Ga (0.000, 0.000, 0.000)

Crystal system: cubic
V: 56.2 A^3/atom
Excess energy over the best structure of this formula in the dataset: 0.132 eV per atom

***

Density functional theory data (PBE-GGA) for a relaxed structure of BaLiGa.

Unit cell a=6.187 b=6.187 c=8.222 alpha=127.35 beta=127.35 gamma=49.14
Atoms (fractional coordinates):
Ba (0.242, 0.242, 0.185)
Ba (0.758, 0.758, 0.815)
Li (0.384, 0.384, 0.688)
Li (0.616, 0.616, 0.312)
Ga (0.048, 0.048, 0.395)
Ga (0.952, 0.952, 0.605)

Crystal system: monoclinic
V: 29.6 A^3/atom
Excess energy over the best structure of this formula in the dataset: 0.033 eV per atom

***

Density functional theory data (PBE-GGA) for a relaxed structure of Ba3Li3Ga2.

Unit cell a=6.811 b=6.811 c=15.523 alpha=90.00 beta=90.00 gamma=133.65
Atoms (fractional coordinates):
Ba (0.045, 0.955, 0.750)
Ba (0.163, 0.837, 0.030)
Ba (0.163, 0.837, 0.470)
Ba (0.837, 0.163, 0.530)
Ba (0.837, 0.163, 0.970)
Ba (0.955, 0.045, 0.250)
Li (0.255, 0.745, 0.250)
Li (0.479, 0.521, 0.096)
Li (0.479, 0.521, 0.404)
Li (0.521, 0.479, 0.596)
Li (0.521, 0.479, 0.904)
Li (0.745, 0.255, 0.750)
Ga (0.313, 0.687, 0.668)
Ga (0.313, 0.687, 0.832)
Ga (0.687, 0.313, 0.168)
Ga (0.687, 0.313, 0.332)

Crystal system: orthorhombic
V: 32.6 A^3/atom

***

Density functional theory data (PBE-GGA) for a relaxed structure of Ba2LiGa3.

Unit cell a=4.524 b=4.989 c=8.152 alpha=90.00 beta=90.00 gamma=90.00
Atoms (fractional coordinates):
Ba (0.000, 0.000, 0.000)
Ba (0.500, 0.000, 0.482)
Li (0.000, 0.500, 0.654)
Ga (0.000, 0.500, 0.317)
Ga (0.500, 0.500, 0.159)
Ga (0.500, 0.500, 0.844)

Crystal system: orthorhombic
V: 30.7 A^3/atom

***

Density functional theory data (PBE-GGA) for a relaxed structure of Ba2Li5Ga4.

Unit cell a=7.504 b=7.504 c=8.649 alpha=123.94 beta=123.94 gamma=47.72
Atoms (fractional coordinates):
Ba (0.236, 0.236, 0.171)
Ba (0.764, 0.764, 0.829)
Li (0.182, 0.701, 0.647)
Li (0.299, 0.818, 0.353)
Li (0.500, 0.500, 0.000)
Li (0.701, 0.182, 0.647)
Li (0.818, 0.299, 0.353)
Ga (0.109, 0.109, 0.670)
Ga (0.276, 0.276, 0.623)
Ga (0.724, 0.724, 0.377)
Ga (0.891, 0.891, 0.330)

Crystal system: monoclinic
V: 25.9 A^3/atom

***

Density functional theory data (PBE-GGA) for a relaxed structure of BaLi3Ga.

Unit cell a=5.112 b=5.112 c=5.112 alpha=90.00 beta=90.00 gamma=90.00
Atoms (fractional coordinates):
Ba (0.000, 0.000, 0.000)
Li (0.000, 0.500, 0.500)
Li (0.500, 0.000, 0.500)
Li (0.500, 0.500, 0.000)
Ga (0.500, 0.500, 0.500)

Crystal system: cubic
V: 26.7 A^3/atom
Excess energy over the best structure of this formula in the dataset: 0.016 eV per atom

***

no.,energy of formation (eV/atom)
1,-0.247
2,-0.085
3,-0.267
4,-0.026
5,-0.205
6,-0.250
7,0.026
8,-0.267
9,-0.117
10,-0.321
11,-0.249
12,-0.121